Record 1
{
  "formula": "BeGaAgF6",
  "functional": "PBE-GGA",
  "state": "optimized geometry",
  "final_energy_ev_per_atom": -4.70,
  "crystal_system": "trigonal",
  "space_group": "P-31c, No. 163",
  "rho_g_cm3": 4.36,
  "magmom_total_mub_per_fu": 0.000,
  "raw_formation_energy_ev_per_atom": -2.3871,
  "vol_a3_per_atom": 12.71,
  "lattice": [[4.9389, 0.0000, 0.0000], [-2.4694, 4.2772, 0.0000], [0.0000, 0.0000, 10.8316]],
  "species": ["Be", "Be", "Ga", "Ga", "Ag", "Ag", "F", "F", "F", "F", "F", "F", "F", "F", "F", "F", "F", "F"],
  "frac_coords": [[0.3333, 0.6667, 0.2500], [0.6667, 0.3333, 0.7500], [0.3333, 0.6667, 0.7500], [0.6667, 0.3333, 0.2500], [0.0000, 0.0000, 0.0000], [0.0000, 0.0000, 0.5000], [0.0211, 0.3870, 0.1562], [0.0211, 0.6340, 0.3438], [0.3660, 0.3870, 0.3438], [0.3660, 0.9789, 0.1562], [0.3870, 0.0211, 0.6562], [0.3870, 0.3660, 0.8438], [0.6130, 0.6340, 0.1562], [0.6130, 0.9789, 0.3438], [0.6340, 0.0211, 0.8438], [0.6340, 0.6130, 0.6562], [0.9789, 0.3660, 0.6562], [0.9789, 0.6130, 0.8438]]
}



Record 2
{
  "formula": "Hf2BeAgF",
  "functional": "PBE-GGA",
  "state": "optimized geometry",
  "final_energy_ev_per_atom": -5.98,
  "crystal_system": "tetragonal",
  "space_group": "P4/mmm, No. 123",
  "rho_g_cm3": 10.41,
  "magmom_total_mub_per_fu": 0.000,
  "raw_formation_energy_ev_per_atom": -0.3076,
  "vol_a3_per_atom": 15.73,
  "lattice": [[4.7556, 0.0000, 0.0000], [0.0000, 4.7556, 0.0000], [0.0000, 0.0000, 3.4768]],
  "species": ["Hf", "Hf", "Be", "Ag", "F"],
  "frac_coords": [[0.0000, 0.5000, 0.0000], [0.5000, 0.0000, 0.0000], [0.0000, 0.0000, 0.5000], [0.5000, 0.5000, 0.5000], [0.0000, 0.0000, 0.0000]]
}



Record 3
{
  "formula": "HfBe2AgF",
  "functional": "PBE-GGA",
  "state": "optimized geometry",
  "final_energy_ev_per_atom": -4.19,
  "crystal_system": "tetragonal",
  "space_group": "P4/mmm, No. 123",
  "rho_g_cm3": 5.43,
  "magmom_total_mub_per_fu": 0.000,
  "raw_formation_energy_ev_per_atom": 0.2382,
  "vol_a3_per_atom": 19.78,
  "lattice": [[4.9974, 0.0000, 0.0000], [0.0000, 4.9974, 0.0000], [0.0000, 0.0000, 3.9600]],
  "species": ["Hf", "Be", "Be", "Ag", "F"],
  "frac_coords": [[0.0000, 0.0000, 0.0000], [0.0000, 0.5000, 0.0000], [0.5000, 0.0000, 0.0000], [0.5000, 0.5000, 0.5000], [0.0000, 0.0000, 0.5000]]
}



Record 4
{
  "formula": "Be2AgHgF",
  "functional": "PBE-GGA",
  "state": "optimized geometry",
  "final_energy_ev_per_atom": -1.93,
  "crystal_system": "tetragonal",
  "space_group": "P4/mmm, No. 123",
  "rho_g_cm3": 5.26,
  "magmom_total_mub_per_fu": 0.000,
  "raw_formation_energy_ev_per_atom": 0.5641,
  "vol_a3_per_atom": 21.80,
  "lattice": [[4.4555, 0.0000, 0.0000], [0.0000, 4.4555, 0.0000], [0.0000, 0.0000, 5.4899]],
  "species": ["Be", "Be", "Ag", "Hg", "F"],
  "frac_coords": [[0.0000, 0.5000, 0.0000], [0.5000, 0.0000, 0.0000], [0.0000, 0.0000, 0.5000], [0.0000, 0.0000, 0.0000], [0.5000, 0.5000, 0.5000]]
}



Record 5
{
  "formula": "BeAg2HgF6",
  "functional": "PBE-GGA",
  "state": "optimized geometry",
  "final_energy_ev_per_atom": -3.76,
  "crystal_system": "triclinic",
  "space_group": "P-1, No. 2",
  "rho_g_cm3": 6.95,
  "magmom_total_mub_per_fu": 0.134,
  "raw_formation_energy_ev_per_atom": -1.6653,
  "vol_a3_per_atom": 12.89,
  "lattice": [[5.5583, 0.0000, 0.0000], [2.5446, 4.9432, 0.0000], [2.5486, 1.5495, 4.6929]],
  "species": ["Be", "Ag", "Ag", "Hg", "F", "F", "F", "F", "F", "F"],
  "frac_coords": [[0.0000, 0.0000, 0.0000], [0.2525, 0.2527, 0.2525], [0.7475, 0.7473, 0.7475], [0.5000, 0.5000, 0.5000], [0.1253, 0.3030, 0.8039], [0.1993, 0.8747, 0.6966], [0.3020, 0.8025, 0.1261], [0.6980, 0.1975, 0.8739], [0.8007, 0.1253, 0.3034], [0.8747, 0.6970, 0.1961]]
}



Record 6
{
  "formula": "BeInAgF6",
  "functional": "PBE-GGA",
  "state": "optimized geometry",
  "final_energy_ev_per_atom": -4.59,
  "crystal_system": "trigonal",
  "space_group": "P-31c, No. 163",
  "rho_g_cm3": 4.64,
  "magmom_total_mub_per_fu": 0.001,
  "raw_formation_energy_ev_per_atom": -2.3082,
  "vol_a3_per_atom": 13.73,
  "lattice": [[5.2455, 0.0000, 0.0000], [-2.6228, 4.5427, 0.0000], [0.0000, 0.0000, 10.3743]],
  "species": ["Be", "Be", "In", "In", "Ag", "Ag", "F", "F", "F", "F", "F", "F", "F", "F", "F", "F", "F", "F"],
  "frac_coords": [[0.3333, 0.6667, 0.2500], [0.6667, 0.3333, 0.7500], [0.3333, 0.6667, 0.7500], [0.6667, 0.3333, 0.2500], [0.0000, 0.0000, 0.0000], [0.0000, 0.0000, 0.5000], [0.0454, 0.3963, 0.1507], [0.0454, 0.6491, 0.3493], [0.3509, 0.3963, 0.3493], [0.3509, 0.9546, 0.1507], [0.3963, 0.0454, 0.6507], [0.3963, 0.3509, 0.8493], [0.6037, 0.6491, 0.1507], [0.6037, 0.9546, 0.3493], [0.6491, 0.0454, 0.8493], [0.6491, 0.6037, 0.6507], [0.9546, 0.3509, 0.6507], [0.9546, 0.6037, 0.8493]]
}



Record 7
{
  "formula": "KBeAgF6",
  "functional": "PBE-GGA",
  "state": "optimized geometry",
  "final_energy_ev_per_atom": -4.18,
  "crystal_system": "trigonal",
  "space_group": "P312, No. 149",
  "rho_g_cm3": 3.30,
  "magmom_total_mub_per_fu": 2.001,
  "raw_formation_energy_ev_per_atom": -2.0844,
  "vol_a3_per_atom": 15.09,
  "lattice": [[5.2302, 0.0000, 0.0000], [-2.6151, 4.5295, 0.0000], [0.0000, 0.0000, 5.7330]],
  "species": ["K", "Be", "Ag", "F", "F", "F", "F", "F", "F"],
  "frac_coords": [[0.0000, 0.0000, 0.0000], [0.6667, 0.3333, 0.5000], [0.3333, 0.6667, 0.5000], [0.3980, 0.0499, 0.6814], [0.3980, 0.3481, 0.3186], [0.6519, 0.0499, 0.3186], [0.6519, 0.6020, 0.6814], [0.9501, 0.3481, 0.6814], [0.9501, 0.6020, 0.3186]]
}



Record 8
{
  "formula": "KBe2AgF6",
  "functional": "PBE-GGA",
  "state": "optimized geometry",
  "final_energy_ev_per_atom": -5.01,
  "crystal_system": "monoclinic",
  "space_group": "C2/c, No. 15",
  "rho_g_cm3": 3.39,
  "magmom_total_mub_per_fu": 0.065,
  "raw_formation_energy_ev_per_atom": -2.7489,
  "vol_a3_per_atom": 13.66,
  "lattice": [[5.1998, -5.1964, 0.0000], [5.1998, 5.1964, 0.0000], [-0.3941, 0.0000, 5.0549]],
  "species": ["K", "K", "Be", "Be", "Be", "Be", "Ag", "Ag", "F", "F", "F", "F", "F", "F", "F", "F", "F", "F", "F", "F"],
  "frac_coords": [[0.1845, 0.8155, 0.7500], [0.8155, 0.1845, 0.2500], [0.1299, 0.2994, 0.7646], [0.2994, 0.1299, 0.2646], [0.7006, 0.8701, 0.7354], [0.8701, 0.7006, 0.2354], [0.4037, 0.5963, 0.2500], [0.5963, 0.4037, 0.7500], [0.0697, 0.6478, 0.2662], [0.1589, 0.1744, 0.0171], [0.1744, 0.1589, 0.5171], [0.2670, 0.4569, 0.7854], [0.3522, 0.9303, 0.2338], [0.4569, 0.2670, 0.2854], [0.5431, 0.7330, 0.7146], [0.6478, 0.0697, 0.7662], [0.7330, 0.5431, 0.2146], [0.8256, 0.8411, 0.4829], [0.8411, 0.8256, 0.9829], [0.9303, 0.3522, 0.7338]]
}



Record 9
{
  "formula": "Li2BeAg2F6",
  "functional": "PBE-GGA",
  "state": "optimized geometry",
  "final_energy_ev_per_atom": -4.45,
  "crystal_system": "monoclinic",
  "space_group": "C2/m, No. 12",
  "rho_g_cm3": 4.55,
  "magmom_total_mub_per_fu": 0.000,
  "raw_formation_energy_ev_per_atom": -2.2259,
  "vol_a3_per_atom": 11.70,
  "lattice": [[2.4983, -4.3811, 0.0000], [2.4983, 4.3811, 0.0000], [-0.9624, 0.0000, 5.8809]],
  "species": ["Li", "Li", "Be", "Ag", "Ag", "F", "F", "F", "F", "F", "F"],
  "frac_coords": [[0.1628, 0.8372, 0.0000], [0.8372, 0.1628, 0.0000], [0.5000, 0.5000, 0.0000], [0.3365, 0.6635, 0.5000], [0.6635, 0.3365, 0.5000], [0.1658, 0.4711, 0.8243], [0.2471, 0.2471, 0.1601], [0.4711, 0.1658, 0.8243], [0.5289, 0.8342, 0.1757], [0.7529, 0.7529, 0.8399], [0.8342, 0.5289, 0.1757]]
}



Record 10
{
  "formula": "LiBeAgF4",
  "functional": "PBE-GGA",
  "state": "optimized geometry",
  "final_energy_ev_per_atom": -4.80,
  "crystal_system": "orthorhombic",
  "space_group": "Cmcm, No. 63",
  "rho_g_cm3": 3.72,
  "magmom_total_mub_per_fu": 0.001,
  "raw_formation_energy_ev_per_atom": -2.5207,
  "vol_a3_per_atom": 12.74,
  "lattice": [[3.2646, -4.5431, 0.0000], [3.2646, 4.5431, 0.0000], [0.0000, 0.0000, 6.0107]],
  "species": ["Li", "Li", "Be", "Be", "Ag", "Ag", "F", "F", "F", "F", "F", "F", "F", "F"],
  "frac_coords": [[0.1418, 0.8582, 0.7500], [0.8582, 0.1418, 0.2500], [0.1387, 0.8613, 0.2500], [0.8613, 0.1387, 0.7500], [0.5000, 0.5000, 0.0000], [0.5000, 0.5000, 0.5000], [0.1597, 0.2150, 0.7500], [0.2150, 0.1597, 0.2500], [0.2333, 0.7667, 0.0336], [0.2333, 0.7667, 0.4664], [0.7667, 0.2333, 0.5336], [0.7667, 0.2333, 0.9664], [0.7850, 0.8403, 0.7500], [0.8403, 0.7850, 0.2500]]
}



Record 11
{
  "formula": "LiBe2AgF6",
  "functional": "PBE-GGA",
  "state": "optimized geometry",
  "final_energy_ev_per_atom": -5.09,
  "crystal_system": "monoclinic",
  "space_group": "C2/c, No. 15",
  "rho_g_cm3": 3.69,
  "magmom_total_mub_per_fu": 0.065,
  "raw_formation_energy_ev_per_atom": -2.7496,
  "vol_a3_per_atom": 11.12,
  "lattice": [[4.8591, -4.5775, 0.0000], [4.8591, 4.5775, 0.0000], [-1.4245, 0.0000, 4.9991]],
  "species": ["Li", "Li", "Be", "Be", "Be", "Be", "Ag", "Ag", "F", "F", "F", "F", "F", "F", "F", "F", "F", "F", "F", "F"],
  "frac_coords": [[0.0952, 0.9048, 0.7500], [0.9048, 0.0952, 0.2500], [0.1982, 0.3715, 0.7177], [0.3715, 0.1982, 0.2177], [0.6285, 0.8018, 0.7823], [0.8018, 0.6285, 0.2823], [0.2974, 0.7026, 0.2500], [0.7026, 0.2974, 0.7500], [0.0455, 0.1957, 0.6329], [0.1155, 0.5901, 0.7892], [0.1957, 0.0455, 0.1329], [0.3299, 0.3576, 0.4857], [0.3576, 0.3299, 0.9857], [0.4099, 0.8845, 0.7108], [0.5901, 0.1155, 0.2892], [0.6424, 0.6701, 0.0143], [0.6701, 0.6424, 0.5143], [0.8043, 0.9545, 0.8671], [0.8845, 0.4099, 0.2108], [0.9545, 0.8043, 0.3671]]
}



Record 12
{
  "formula": "LiBeAg2F",
  "functional": "PBE-GGA",
  "state": "optimized geometry",
  "final_energy_ev_per_atom": -2.96,
  "crystal_system": "tetragonal",
  "space_group": "P4/mmm, No. 123",
  "rho_g_cm3": 5.29,
  "magmom_total_mub_per_fu": 0.000,
  "raw_formation_energy_ev_per_atom": -0.3186,
  "vol_a3_per_atom": 15.73,
  "lattice": [[4.8926, 0.0000, 0.0000], [0.0000, 4.8926, 0.0000], [0.0000, 0.0000, 3.2853]],
  "species": ["Li", "Be", "Ag", "Ag", "F"],
  "frac_coords": [[0.0000, 0.0000, 0.0000], [0.5000, 0.5000, 0.0000], [0.0000, 0.5000, 0.5000], [0.5000, 0.0000, 0.5000], [0.0000, 0.0000, 0.5000]]
}



Record 13
{
  "formula": "MgBeAg2F",
  "functional": "PBE-GGA",
  "state": "optimized geometry",
  "final_energy_ev_per_atom": -2.60,
  "crystal_system": "tetragonal",
  "space_group": "P4/mmm, No. 123",
  "rho_g_cm3": 4.72,
  "magmom_total_mub_per_fu": 0.000,
  "raw_formation_energy_ev_per_atom": -0.0246,
  "vol_a3_per_atom": 18.86,
  "lattice": [[4.2972, 0.0000, 0.0000], [0.0000, 4.2972, 0.0000], [0.0000, 0.0000, 5.1059]],
  "species": ["Mg", "Be", "Ag", "Ag", "F"],
  "frac_coords": [[0.0000, 0.0000, 0.0000], [0.0000, 0.0000, 0.5000], [0.0000, 0.5000, 0.5000], [0.5000, 0.0000, 0.5000], [0.5000, 0.5000, 0.0000]]
}